A plane-wave DFT calculation with PBE was carried out for crystalline RbNa2GeAu at its relaxed geometry.

Structure (CIF):
```
data_RbNa2GeAu
_chemical_formula_sum 'Rb1 Na2 Ge1 Au1'
_cell_length_a 5.744
_cell_length_b 5.744
_cell_length_c 4.963
_cell_angle_alpha 90.00
_cell_angle_beta 90.00
_cell_angle_gamma 90.00
_space_group_name_H-M_alt 'P 4/m m m'
_space_group_IT_number 123
_space_group_name_Hall '-P 4 2'
loop_
_atom_site_label
_atom_site_type_symbol
_atom_site_fract_x
_atom_site_fract_y
_atom_site_fract_z
Rb1 Rb 0.000 0.000 0.000
Na1 Na 0.000 0.500 0.500
Ge1 Ge 0.500 0.500 0.000
Au1 Au 0.500 0.500 0.500
```

Values from the calculation:
Density of states at the Fermi level   0.494 states/eV per atom
Total moment   0.000 μB per formula unit
Calculated formation energy   -0.10 eV per atom
Electronic total energy   -2.401 eV per atom

A plane-wave DFT calculation with PBE was carried out for crystalline RbNa2GeAu at its relaxed geometry.

Structure (CIF):
```
data_RbNa2GeAu
_chemical_formula_sum 'Rb1 Na2 Ge1 Au1'
_cell_length_a 5.741
_cell_length_b 5.741
_cell_length_c 4.966
_cell_angle_alpha 90.00
_cell_angle_beta 90.00
_cell_angle_gamma 90.00
_space_group_name_H-M_alt 'P 4/m m m'
_space_group_IT_number 123
_space_group_name_Hall '-P 4 2'
loop_
_atom_site_label
_atom_site_type_symbol
_atom_site_fract_x
_atom_site_fract_y
_atom_site_fract_z
Rb1 Rb 0.000 0.000 0.000
Na1 Na 0.000 0.500 0.500
Ge1 Ge 0.500 0.500 0.500
Au1 Au 0.500 0.500 0.000
```

Values from the calculation:
Density of states at the Fermi level   0.289 states/eV per atom
Total moment   0.000 μB per formula unit
Calculated formation energy   -0.10 eV per atom
Electronic total energy   -2.403 eV per atom

A plane-wave DFT calculation with PBE was carried out for crystalline RbNaGeAu2 at its relaxed geometry.

Structure (CIF):
```
data_RbNaGeAu2
_chemical_formula_sum 'Rb1 Na1 Ge1 Au2'
_cell_length_a 5.091
_cell_length_b 5.091
_cell_length_c 5.539
_cell_angle_alpha 90.00
_cell_angle_beta 90.00
_cell_angle_gamma 90.00
_space_group_name_H-M_alt 'P 4/m m m'
_space_group_IT_number 123
_space_group_name_Hall '-P 4 2'
loop_
_atom_site_label
_atom_site_type_symbol
_atom_site_fract_x
_atom_site_fract_y
_atom_site_fract_z
Rb1 Rb 0.000 0.000 0.000
Na1 Na 0.500 0.500 0.000
Ge1 Ge 0.500 0.500 0.500
Au1 Au 0.000 0.500 0.500
```

Values from the calculation:
Density of states at the Fermi level   0.460 states/eV per atom
Total moment   0.000 μB per formula unit
Calculated formation energy   -0.15 eV per atom
Electronic total energy   -2.840 eV per atom

A plane-wave DFT calculation with PBE was carried out for crystalline NaGeAu2S4 at its relaxed geometry.

Structure (CIF):
```
data_NaGeAu2S4
_chemical_formula_sum 'Na2 Ge2 Au4 S8'
_cell_length_a 6.336
_cell_length_b 6.537
_cell_length_c 8.923
_cell_angle_alpha 90.00
_cell_angle_beta 90.00
_cell_angle_gamma 90.00
_space_group_name_H-M_alt 'I 2 2 2'
_space_group_IT_number 23
loop_
_space_group_symop_operation_xyz
'x,y,z'
'-x,-y,z'
'x,-y,-z'
'-x,y,-z'
'x+1/2,y+1/2,z+1/2'
'-x+1/2,-y+1/2,z+1/2'
'x+1/2,-y+1/2,-z+1/2'
'-x+1/2,y+1/2,-z+1/2'
loop_
_atom_site_label
_atom_site_type_symbol
_atom_site_fract_x
_atom_site_fract_y
_atom_site_fract_z
Na1 Na 0.000 0.000 0.000
Ge1 Ge 0.000 0.000 0.500
Au1 Au 0.000 0.500 0.342
S1 S 0.211 0.199 0.642
```

Values from the calculation:
Density of states at the Fermi level   0.371 states/eV per atom
ΔE_f (raw)   -0.347 eV per atom
Total moment   0.000 μB per formula unit
Electronic total energy   -3.972 eV per atom

A plane-wave DFT calculation with PBE was carried out for crystalline Na2GeAuS4 at its relaxed geometry.

Structure (CIF):
```
data_Na2GeAuS4
_chemical_formula_sum 'Na4 Ge2 Au2 S8'
_cell_length_a 7.181
_cell_length_b 7.181
_cell_length_c 6.612
_cell_angle_alpha 90.00
_cell_angle_beta 90.00
_cell_angle_gamma 90.00
_space_group_name_H-M_alt 'I -4 2 m'
_space_group_IT_number 121
_space_group_name_Hall 'I -4 2'
loop_
_atom_site_label
_atom_site_type_symbol
_atom_site_fract_x
_atom_site_fract_y
_atom_site_fract_z
Na1 Na 0.000 0.500 0.000
Ge1 Ge 0.000 0.000 0.000
Au1 Au 0.000 0.000 0.500
S1 S 0.171 0.171 0.786
```

Values from the calculation:
Density of states at the Fermi level   0.748 states/eV per atom
ΔE_f (raw)   -0.496 eV per atom
Total moment   0.000 μB per formula unit
Electronic total energy   -3.876 eV per atom

A plane-wave DFT calculation with PBE was carried out for crystalline NaGeSbAu3 at its relaxed geometry.

Structure (CIF):
```
data_NaGeSbAu3
_chemical_formula_sum 'Na4 Ge4 Sb4 Au12'
_cell_length_a 6.915
_cell_length_b 11.762
_cell_length_c 7.015
_cell_angle_alpha 90.00
_cell_angle_beta 92.07
_cell_angle_gamma 90.00
_space_group_name_H-M_alt 'C 1 2/c 1'
_space_group_IT_number 15
loop_
_space_group_symop_operation_xyz
'x,y,z'
'-x,-y,-z'
'-x,y,-z+1/2'
'x,-y,z+1/2'
'x+1/2,y+1/2,z'
'-x+1/2,-y+1/2,-z'
'-x+1/2,y+1/2,-z+1/2'
'x+1/2,-y+1/2,z+1/2'
loop_
_atom_site_label
_atom_site_type_symbol
_atom_site_fract_x
_atom_site_fract_y
_atom_site_fract_z
Na1 Na 0.000 0.247 0.250
Ge1 Ge 0.000 0.018 0.750
Sb1 Sb 0.000 0.488 0.750
Au1 Au 0.000 0.248 0.750
Au2 Au 0.238 0.114 0.000
```

Values from the calculation:
Density of states at the Fermi level   0.279 states/eV per atom
ΔE_f (raw)   -0.132 eV per atom
Total moment   0.000 μB per formula unit
Electronic total energy   -3.447 eV per atom

A plane-wave DFT calculation with PBE was carried out for crystalline NaScGeAu at its relaxed geometry.

Structure (CIF):
```
data_NaScGeAu
_chemical_formula_sum 'Na4 Sc4 Ge4 Au4'
_cell_length_a 6.797
_cell_length_b 6.797
_cell_length_c 6.797
_cell_angle_alpha 90.00
_cell_angle_beta 90.00
_cell_angle_gamma 90.00
_space_group_name_H-M_alt 'F -4 3 m'
_space_group_IT_number 216
_space_group_name_Hall 'F -4 2 3'
loop_
_atom_site_label
_atom_site_type_symbol
_atom_site_fract_x
_atom_site_fract_y
_atom_site_fract_z
Na1 Na 0.000 0.000 0.000
Sc1 Sc 0.000 0.000 0.500
Ge1 Ge 0.250 0.250 0.250
Au1 Au 0.250 0.250 0.750
```

Values from the calculation:
Density of states at the Fermi level   0.549 states/eV per atom
Total moment   0.000 μB per formula unit
Calculated formation energy   -0.41 eV per atom
Electronic total energy   -4.301 eV per atom

A plane-wave DFT calculation with PBE was carried out for crystalline NaGeAu2Se4 at its relaxed geometry.

Structure (CIF):
```
data_NaGeAu2Se4
_chemical_formula_sum 'Na2 Ge2 Au4 Se8'
_cell_length_a 6.568
_cell_length_b 6.901
_cell_length_c 9.179
_cell_angle_alpha 90.00
_cell_angle_beta 90.00
_cell_angle_gamma 90.00
_space_group_name_H-M_alt 'I 2 2 2'
_space_group_IT_number 23
loop_
_space_group_symop_operation_xyz
'x,y,z'
'-x,-y,z'
'x,-y,-z'
'-x,y,-z'
'x+1/2,y+1/2,z+1/2'
'-x+1/2,-y+1/2,z+1/2'
'x+1/2,-y+1/2,-z+1/2'
'-x+1/2,y+1/2,-z+1/2'
loop_
_atom_site_label
_atom_site_type_symbol
_atom_site_fract_x
_atom_site_fract_y
_atom_site_fract_z
Na1 Na 0.000 0.000 0.000
Ge1 Ge 0.000 0.000 0.500
Au1 Au 0.000 0.500 0.345
Se1 Se 0.219 0.201 0.646
```

Values from the calculation:
Density of states at the Fermi level   0.345 states/eV per atom
ΔE_f (raw)   -0.333 eV per atom
Total moment   0.000 μB per formula unit
Electronic total energy   -3.636 eV per atom

A plane-wave DFT calculation with PBE was carried out for crystalline Na2GeAuSe4 at its relaxed geometry.

Structure (CIF):
```
data_Na2GeAuSe4
_chemical_formula_sum 'Na4 Ge2 Au2 Se8'
_cell_length_a 7.496
_cell_length_b 7.496
_cell_length_c 6.847
_cell_angle_alpha 90.00
_cell_angle_beta 90.00
_cell_angle_gamma 90.00
_space_group_name_H-M_alt 'I -4 2 m'
_space_group_IT_number 121
_space_group_name_Hall 'I -4 2'
loop_
_atom_site_label
_atom_site_type_symbol
_atom_site_fract_x
_atom_site_fract_y
_atom_site_fract_z
Na1 Na 0.000 0.500 0.000
Ge1 Ge 0.000 0.000 0.000
Au1 Au 0.000 0.000 0.500
Se1 Se 0.177 0.177 0.783
```

Values from the calculation:
Density of states at the Fermi level   0.675 states/eV per atom
ΔE_f (raw)   -0.481 eV per atom
Total moment   0.000 μB per formula unit
Electronic total energy   -3.540 eV per atom

A plane-wave DFT calculation with PBE was carried out for crystalline Na2SmGe3Au12 at its relaxed geometry.

Structure (CIF):
```
data_Na2SmGe3Au12
_chemical_formula_sum 'Na6 Sm3 Ge9 Au36'
_cell_length_a 9.3224
_cell_length_b 9.3224
_cell_length_c 16.4878
_cell_angle_alpha 90.00
_cell_angle_beta 90.00
_cell_angle_gamma 120.00
_space_group_name_H-M_alt 'R -3 m'
_space_group_IT_number 166
_space_group_name_Hall '-R 3 2"'
loop_
_atom_site_label
_atom_site_type_symbol
_atom_site_fract_x
_atom_site_fract_y
_atom_site_fract_z
Na1 Na 0.0000 0.0000 0.0874
Sm1 Sm 0.0000 0.0000 0.5000
Ge1 Ge 0.0000 0.5000 0.0000
Au1 Au 0.0229 0.5115 0.3248
Au2 Au 0.0313 0.5157 0.8463
```

Values from the calculation:
Density of states at the Fermi level   0.305 states/eV per atom
Total moment   0.000 μB per formula unit
Calculated formation energy   -0.04 eV per atom
Electronic total energy   -3.402 eV per atom

A plane-wave DFT calculation with PBE was carried out for crystalline NaSn2Ge2Au7 at its relaxed geometry.

Structure (CIF):
```
data_NaSn2Ge2Au7
_chemical_formula_sum 'Na2 Sn4 Ge4 Au14'
_cell_length_a 6.926
_cell_length_b 6.019
_cell_length_c 11.937
_cell_angle_alpha 90.00
_cell_angle_beta 93.11
_cell_angle_gamma 90.00
_space_group_name_H-M_alt 'C 1 2/m 1'
_space_group_IT_number 12
loop_
_space_group_symop_operation_xyz
'x,y,z'
'-x,-y,-z'
'-x,y,-z'
'x,-y,z'
'x+1/2,y+1/2,z'
'-x+1/2,-y+1/2,-z'
'-x+1/2,y+1/2,-z'
'x+1/2,-y+1/2,z'
loop_
_atom_site_label
_atom_site_type_symbol
_atom_site_fract_x
_atom_site_fract_y
_atom_site_fract_z
Na1 Na 0.000 0.000 0.000
Sn1 Sn 0.030 0.000 0.346
Ge1 Ge 0.019 0.500 0.275
Au1 Au 0.000 0.500 0.000
Au2 Au 0.196 0.500 0.475
Au3 Au 0.239 0.249 0.841
```

Values from the calculation:
Density of states at the Fermi level   0.297 states/eV per atom
Total moment   0.000 μB per formula unit
Calculated formation energy   -0.06 eV per atom
Electronic total energy   -3.515 eV per atom